(1)
Material: BaTlRh2
Method: DFT, SCAN
State: single point on PBEsol structure

DFT total energy ... -44.68 eV/atom
Total moment ... 0.00 μB per formula unit

Unit cell a=10.917 b=3.131 c=5.135 alpha=90.00 beta=107.96 gamma=90.00
Space group Cm (No. 8)
One atom of each set of equivalent atoms:
Ba1 0.000 0.000 0.000 [2 per cell]
Tl1 0.210 0.000 0.631 [2 per cell]
Rh1 0.270 0.500 0.188 [2 per cell]
Rh2 0.462 0.000 0.484 [2 per cell]



(2)
Material: Al2TlAsI
Method: DFT, SCAN
State: single point on PBEsol structure

DFT total energy ... -28.59 eV/atom
Total moment ... 0.00 μB per formula unit
Energy relative to the elements, uncorrected ... 368 meV/atom

Unit cell a=4.909 b=4.909 c=8.335 alpha=90.00 beta=90.00 gamma=90.00
Space group P4/mmm (No. 123)
One atom of each set of equivalent atoms:
Al1 0.000 0.500 0.000 [2 per cell]
Tl1 0.000 0.000 0.500 [1 per cell]
As1 0.500 0.500 0.000 [1 per cell]
I1 0.500 0.500 0.500 [1 per cell]



(3)
Material: NiH2Pt
Method: DFT, SCAN
State: single point on PBEsol structure

DFT total energy ... -23.25 eV/atom
Total moment ... 0.00 μB per formula unit

Unit cell a=3.956 b=3.956 c=8.282 alpha=90.00 beta=90.00 gamma=90.00
Space group I-42d (No. 122)
One atom of each set of equivalent atoms:
Ni1 0.000 0.000 0.000 [4 per cell]
H1 0.216 0.250 0.125 [8 per cell]
Pt1 0.000 0.000 0.500 [4 per cell]



(4)
Material: MgMnAg2
Method: DFT, SCAN
State: single point on PBEsol structure

DFT total energy ... -21.63 eV/atom
Total moment ... 4.22 μB per formula unit

Unit cell a=4.524 b=4.524 c=3.226 alpha=90.00 beta=90.00 gamma=90.00
Space group P4/mmm (No. 123)
One atom of each set of equivalent atoms:
Mg1 0.000 0.000 0.000 [1 per cell]
Mn1 0.500 0.500 0.000 [1 per cell]
Ag1 0.000 0.500 0.500 [2 per cell]



(5)
Material: BiTe2AsI
Method: DFT, SCAN
State: single point on PBEsol structure

DFT total energy ... -41.59 eV/atom
Total moment ... 0.00 μB per formula unit
Energy relative to the elements, uncorrected ... 411 meV/atom

Unit cell a=5.373 b=5.373 c=5.465 alpha=90.00 beta=90.00 gamma=90.00
Space group P4/mmm (No. 123)
One atom of each set of equivalent atoms:
Bi1 0.000 0.000 0.000 [1 per cell]
Te1 0.000 0.500 0.500 [2 per cell]
As1 0.500 0.500 0.500 [1 per cell]
I1 0.500 0.500 0.000 [1 per cell]



(6)
Material: CdSb2As
Method: DFT, SCAN
State: single point on PBEsol structure

DFT total energy ... -31.24 eV/atom
Total moment ... 0.00 μB per formula unit
Energy relative to the elements, uncorrected ... 40 meV/atom
Energy above the lowest structure with this stoichiometry ... 0 meV/atom

Unit cell a=12.495 b=3.972 c=4.355 alpha=90.00 beta=109.65 gamma=90.00
Space group Cm (No. 8)
One atom of each set of equivalent atoms:
Cd1 0.000 0.000 0.000 [2 per cell]
Sb1 0.013 0.500 0.513 [2 per cell]
Sb2 0.257 0.000 0.311 [2 per cell]
As1 0.260 0.500 0.733 [2 per cell]



(7)
Material: CoSiW3
Method: DFT, SCAN
State: single point on PBEsol structure

DFT total energy ... -45.52 eV/atom
Total moment ... 0.57 μB per formula unit
Energy relative to the elements, uncorrected ... 1762 meV/atom

Unit cell a=4.401 b=4.401 c=4.401 alpha=90.00 beta=90.00 gamma=90.00
Space group Pm-3m (No. 221)
One atom of each set of equivalent atoms:
Co1 0.000 0.000 0.000 [1 per cell]
Si1 0.500 0.500 0.500 [1 per cell]
W1 0.000 0.500 0.500 [3 per cell]



(8)
Material: AlHgSbTe2
Method: DFT, SCAN
State: single point on PBEsol structure

DFT total energy ... -37.18 eV/atom
Total moment ... 0.00 μB per formula unit
Energy relative to the elements, uncorrected ... 359 meV/atom

Unit cell a=5.279 b=5.279 c=5.287 alpha=90.00 beta=90.00 gamma=90.00
Space group P4/mmm (No. 123)
One atom of each set of equivalent atoms:
Al1 0.000 0.000 0.000 [1 per cell]
Hg1 0.500 0.500 0.500 [1 per cell]
Sb1 0.000 0.000 0.500 [1 per cell]
Te1 0.000 0.500 0.000 [2 per cell]



(9)
Material: SnTeN2F
Method: DFT, SCAN
State: single point on PBEsol structure

DFT total energy ... -17.61 eV/atom
Total moment ... 4.91 μB per formula unit
Energy relative to the elements, uncorrected ... 1452 meV/atom

Unit cell a=4.614 b=4.614 c=4.145 alpha=90.00 beta=90.00 gamma=90.00
Space group P4/mmm (No. 123)
One atom of each set of equivalent atoms:
Sn1 0.000 0.000 0.000 [1 per cell]
Te1 0.500 0.500 0.000 [1 per cell]
N1 0.000 0.500 0.500 [2 per cell]
F1 0.500 0.500 0.500 [1 per cell]



(10)
Material: Cd3RhI
Method: DFT, SCAN
State: single point on PBEsol structure

DFT total energy ... -32.20 eV/atom
Total moment ... 0.00 μB per formula unit
Energy relative to the elements, uncorrected ... 148 meV/atom

Unit cell a=5.136 b=5.136 c=5.136 alpha=90.00 beta=90.00 gamma=90.00
Space group Pm-3m (No. 221)
One atom of each set of equivalent atoms:
Cd1 0.000 0.000 0.500 [3 per cell]
Rh1 0.000 0.000 0.000 [1 per cell]
I1 0.500 0.500 0.500 [1 per cell]



(11)
Material: LaSc2Ni
Method: DFT, SCAN
State: single point on PBEsol structure

DFT total energy ... -21.79 eV/atom
Total moment ... 0.00 μB per formula unit
Energy above the lowest structure with this stoichiometry ... 365 meV/atom

Unit cell a=6.822 b=6.822 c=6.822 alpha=90.00 beta=90.00 gamma=90.00
Space group Fm-3m (No. 225)
One atom of each set of equivalent atoms:
La1 0.000 0.000 0.000 [4 per cell]
Sc1 0.250 0.250 0.250 [8 per cell]
Ni1 0.000 0.000 0.500 [4 per cell]



(12)
Material: TiReSb2
Method: DFT, SCAN
State: single point on PBEsol structure

DFT total energy ... -40.28 eV/atom
Total moment ... 1.63 μB per formula unit
Energy relative to the elements, uncorrected ... 136 meV/atom

Unit cell a=6.590 b=6.590 c=6.590 alpha=90.00 beta=90.00 gamma=90.00
Space group Fm-3m (No. 225)
One atom of each set of equivalent atoms:
Ti1 0.000 0.000 0.000 [4 per cell]
Re1 0.000 0.000 0.500 [4 per cell]
Sb1 0.250 0.250 0.250 [8 per cell]



Q: The highest total moment belongs to which entry?
A: SnTeN2F



Q: Which value of DFT total energy does entry 7 give?
A: -45.52 eV/atom



Q: What is the DFT total energy in the third record?
A: -23.25 eV/atom



Q: What is the DFT total energy in the ninth record?
A: -17.61 eV/atom